[1]
Compound: NaNiCl2
Source: Alexandria via LeMat-Bulk
Functional: GGA-PBE
Structure: optimized geometry

Lattice parameters (Å, degrees): 4.2235 4.2235 21.3281 90.00 90.00 120.00
Space group R-3m (No. 166, hexagonal axes)
Symmetry-distinct sites (fractional):
Na1 0.0000 0.0000 0.0000 x3
Ni1 0.0000 0.0000 0.5000 x3
Cl1 0.0000 0.0000 0.4007 x6

VASP energy	-3.51	eV per atom
relative energy among the computed polymorphs	3.5	kJ/mol of atoms
raw formation energy	-0.8145	eV per atom


[2]
Compound: KTl2VTe
Source: Alexandria via LeMat-Bulk
Functional: GGA-PBE
Structure: optimized geometry

Lattice parameters (Å, degrees): 5.458 5.458 5.225 90.00 90.00 90.00
Space group P4/mmm (No. 123)
Symmetry-distinct sites (fractional):
K1 0.000 0.000 0.000 x1
Tl1 0.000 0.500 0.500 x2
V1 0.500 0.500 0.500 x1
Te1 0.500 0.500 0.000 x1

VASP energy	-3.65	eV per atom
raw formation energy	-0.0357	eV per atom


Which formula does entry 2 have? KTl2VTe